# 1
PBE-GGA Tb5Nd4Ho2, optimized geometry; calculated total energy = -4.447 eV per atom; DOS at the Fermi energy = 16.96 states/eV/f.u.; energy above the most stable polymorph in this dataset = 1.283 eV/f.u.
1.0
-1.765 4.570 11.681
1.765 -4.570 11.681
1.765 4.570 -11.681
Tb Nd Ho
5 4 2
Direct
0.000 0.000 0.000
0.053 0.356 0.697
0.341 0.644 0.697
0.659 0.356 0.303
0.947 0.644 0.303
0.269 0.769 0.500
0.304 0.500 0.804
0.696 0.500 0.196
0.731 0.231 0.500
0.403 0.903 0.500
0.597 0.097 0.500

# 2
PBE-GGA NaLi2SbCl8, optimized geometry; calculated total energy = -3.212 eV per atom; raw formation energy = -1.21 eV per atom
1.0
6.368 0.000 0.000
1.795 7.168 0.000
0.625 3.523 7.715
Na Li Sb Cl
1 2 1 8
Direct
0.000 0.000 0.000
0.493 0.521 0.821
0.507 0.479 0.179
0.000 0.500 0.500
0.192 0.768 0.379
0.209 0.357 0.772
0.268 0.285 0.396
0.346 0.760 0.933
0.654 0.240 0.067
0.732 0.715 0.604
0.791 0.643 0.228
0.808 0.232 0.621

# 3
PBE-GGA HfZr3Mn, optimized geometry; calculated total energy = -8.559 eV per atom; DOS at the Fermi energy = 5.80 states/eV/f.u.; energy above the most stable polymorph in this dataset = 0.000 eV/f.u.
1.0
4.847 0.000 0.000
0.000 4.847 0.000
0.000 0.000 4.847
Hf Zr Mn
1 3 1
Direct
0.000 0.000 0.000
0.000 0.500 0.500
0.500 0.000 0.500
0.500 0.500 0.000
0.500 0.500 0.500

# 4
PBE-GGA NaSrSeCl, optimized geometry; calculated total energy = -3.813 eV per atom; DOS at the Fermi energy = 0.00 states/eV/f.u.; energy above the most stable polymorph in this dataset = 0.454 eV/f.u.; raw formation energy = -1.73 eV per atom
1.0
0.000 3.689 3.689
3.689 0.000 3.689
3.689 3.689 0.000
Na Sr Se Cl
1 1 1 1
Direct
0.000 0.000 0.000
0.500 0.500 0.500
0.250 0.250 0.250
0.750 0.750 0.750

# 5
PBE-GGA Pr6Y8Tm, optimized geometry; calculated total energy = -5.545 eV per atom; DOS at the Fermi energy = 23.59 states/eV/f.u.; energy above the most stable polymorph in this dataset = 0.000 eV/f.u.
1.0
4.587 2.648 7.046
-4.587 2.648 7.046
0.000 -5.296 7.046
Pr Y Tm
6 8 1
Direct
0.039 0.729 0.600
0.271 0.400 0.961
0.400 0.961 0.271
0.600 0.039 0.729
0.729 0.600 0.039
0.961 0.271 0.400
0.077 0.077 0.077
0.214 0.254 0.612
0.254 0.612 0.214
0.388 0.786 0.746
0.612 0.214 0.254
0.746 0.388 0.786
0.786 0.746 0.388
0.923 0.923 0.923
0.500 0.500 0.500

# 6
PBE-GGA Na2DyCuF8, optimized geometry; calculated total energy = -4.948 eV per atom; raw formation energy = -2.76 eV per atom
1.0
3.684 0.000 0.000
-0.300 5.327 0.000
-0.036 -0.854 8.551
Na Dy Cu F
2 1 1 8
Direct
0.005 0.029 0.269
0.995 0.971 0.731
0.500 0.500 0.000
0.500 0.500 0.500
0.007 0.698 0.924
0.140 0.269 0.532
0.457 0.658 0.692
0.487 0.813 0.181
0.513 0.187 0.819
0.543 0.342 0.308
0.860 0.731 0.468
0.993 0.302 0.076

| no. | mass density (g cm⁻³) |
| --- | --- |
| 1 | 7.49 |
| 2 | 2.09 |
| 3 | 7.40 |
| 4 | 3.72 |
| 5 | 5.58 |
| 6 | 4.20 |